1.
VASP calculation (PBE) on NaSnBi2 after structural relaxation.

Energy (eV/atom): -3.3900
Crystal system: tetragonal
Spin magnetization (μB per cell): 0.0

a = 5.0480 Å, b = 5.0480 Å, c = 4.6207 Å
α = 90.00°, β = 90.00°, γ = 90.00°
Space group P4/mmm (No. 123)
One atom of each set of equivalent atoms:
Na  0.0000  0.0000  0.0000 (multiplicity 1)
Sn  0.5000  0.5000  0.0000 (multiplicity 1)
Bi  0.0000  0.5000  0.5000 (multiplicity 2)

---

2.
VASP calculation (PBE) on Na4SnBi5 after structural relaxation.

Energy (eV/atom): -3.0816
Crystal system: tetragonal
Spin magnetization (μB per cell): 0.0

a = 3.4496 Å, b = 3.4496 Å, c = 24.6961 Å
α = 90.00°, β = 90.00°, γ = 90.00°
Space group P4/mmm (No. 123)
One atom of each set of equivalent atoms:
Na  0.0000  0.0000  0.0991 (multiplicity 2)
Na  0.0000  0.0000  0.2950 (multiplicity 2)
Sn  0.0000  0.0000  0.5000 (multiplicity 1)
Bi  0.5000  0.5000  0.0000 (multiplicity 1)
Bi  0.5000  0.5000  0.1984 (multiplicity 2)
Bi  0.5000  0.5000  0.3978 (multiplicity 2)

---

3.
VASP calculation (PBE) on NaSnBi2 after structural relaxation.

Energy (eV/atom): -3.1520
Crystal system: trigonal
Spin magnetization (μB per cell): 0.0

a = 4.0787 Å, b = 4.0787 Å, c = 30.7183 Å
α = 90.00°, β = 90.00°, γ = 120.00°
Space group R-3m (No. 166, hexagonal axes)
One atom of each set of equivalent atoms:
Na  0.0000  0.0000  0.0000 (multiplicity 3)
Sn  0.0000  0.0000  0.5000 (multiplicity 3)
Bi  0.0000  0.0000  0.1017 (multiplicity 6)

---

4.
VASP calculation (PBE) on NaSnBi2 after structural relaxation.

Energy (eV/atom): -3.3616
Crystal system: orthorhombic
Spin magnetization (μB per cell): 0.0

a = 3.4144 Å, b = 33.8916 Å, c = 4.3052 Å
α = 90.00°, β = 90.00°, γ = 90.00°
Space group Cmcm (No. 63)
One atom of each set of equivalent atoms:
Na  0.0000  0.0978  0.2500 (multiplicity 4)
Sn  0.0000  0.2781  0.7500 (multiplicity 4)
Bi  0.0000  0.3435  0.2500 (multiplicity 4)
Bi  0.0000  0.4669  0.2500 (multiplicity 4)

---

5.
VASP calculation (PBE) on Na2Sn5Bi after structural relaxation.

Energy (eV/atom): -3.4231
Crystal system: tetragonal
Spin magnetization (μB per cell): 0.0

a = 6.6554 Å, b = 6.6554 Å, c = 10.1702 Å
α = 90.00°, β = 90.00°, γ = 90.00°
Space group I4mm (No. 107)
One atom of each set of equivalent atoms:
Na  0.0000  0.5000  0.0000 (multiplicity 4)
Sn  0.0000  0.0000  0.0399 (multiplicity 2)
Sn  0.2458  0.2458  0.2575 (multiplicity 8)
Bi  0.0000  0.0000  0.5422 (multiplicity 2)

---

6.
VASP calculation (PBE) on Na12SnBi7 after structural relaxation.

Energy (eV/atom): -2.5296
Crystal system: trigonal
Spin magnetization (μB per cell): 0.0

a = 13.1820 Å, b = 13.1820 Å, c = 13.7040 Å
α = 90.00°, β = 90.00°, γ = 120.00°
Space group R-3 (No. 148, hexagonal axes)
One atom of each set of equivalent atoms:
Na  0.0428  0.4725  0.2353 (multiplicity 18)
Na  0.0713  0.1809  0.8384 (multiplicity 18)
Sn  0.0000  0.0000  0.5000 (multiplicity 3)
Bi  0.0000  0.0000  0.0000 (multiplicity 3)
Bi  0.0618  0.2061  0.3290 (multiplicity 18)